Compound: Na2Sr2LiAs4
Source: the Alexandria database
Functional: PBE-GGA
Structure: optimized geometry

Unit cell a=6.939 b=6.939 c=8.959 alpha=90.00 beta=90.00 gamma=90.00
Space group I4/mmm (No. 139)
Symmetry-distinct sites (fractional):
1 Na 0.000 0.000 0.195 [4 per cell]
2 Sr 0.000 0.500 0.250 [4 per cell]
3 Li 0.000 0.000 0.500 [2 per cell]
4 As 0.246 0.246 0.000 [8 per cell]

Output
**Spin magnetization**: 0.00 Bohr magnetons per cell
**ΔE_f**: -4.95 eV per formula unit
**Total energy**: -3.4955 eV per atom
**Calculated density**: 4.1 g cm⁻³